This record from Alexandria via LeMat-Bulk describes La2ZrReW at its PBEsol-relaxed geometry. The functional is meta-GGA SCAN.

The value obtained for the electronic total energy is -247.51 eV/f.u. As for the density of states at the Fermi level: 1.289 states/eV per atom. For the energy relative to the elements, the calculation gives 2.04 eV per atom. The volume is 136 Å³ per cell.

abc: 5.3513 5.3513 4.7582
angles: 90.00 90.00 90.00
Element x y z (fractional)
La  0.0000  0.5000  0.0000
La  0.5000  0.0000  0.0000
Zr  0.0000  0.0000  0.0000
Re  0.5000  0.5000  0.5000
W  0.0000  0.0000  0.5000

---

This record from Alexandria via LeMat-Bulk describes Fe4ReTc at its PBEsol-relaxed geometry. The functional is meta-GGA SCAN.

The value obtained for the electronic total energy is -178.22 eV/f.u. As for the density of states at the Fermi level: 0.737 states/eV per atom. For the energy relative to the elements, the calculation gives 0.08 eV per atom. The volume is 69 Å³ per cell.

abc: 4.5941 4.5941 4.5941
angles: 60.00 60.00 60.00
Element x y z (fractional)
Fe  0.1249  0.1249  0.1249
Fe  0.1249  0.1249  0.6253
Fe  0.1249  0.6253  0.1249
Fe  0.6253  0.1249  0.1249
Re  0.5000  0.5000  0.5000
Tc  0.7500  0.7500  0.7500

---

This record from Alexandria via LeMat-Bulk describes HfTiC2 at its PBEsol-relaxed geometry. The functional is meta-GGA SCAN.

The value obtained for the electronic total energy is -102.77 eV/f.u. As for the density of states at the Fermi level: 0.139 states/eV per atom. For the energy relative to the elements, the calculation gives -0.97 eV per atom. The volume is 133 Å³ per cell.

abc: 3.1579 3.1579 15.4040
angles: 90.00 90.00 120.00
Element x y z (fractional)
Hf  0.0000  0.0000  0.0000
Hf  0.3333  0.6667  0.6667
Hf  0.6667  0.3333  0.3333
Ti  0.0000  0.0000  0.5000
Ti  0.3333  0.6667  0.1667
Ti  0.6667  0.3333  0.8333
C  0.0000  0.0000  0.2458
C  0.0000  0.0000  0.7542
C  0.3333  0.6667  0.4209
C  0.3333  0.6667  0.9125
C  0.6667  0.3333  0.0875
C  0.6667  0.3333  0.5791

---

Question: The lowest volume belongs to which entry?
Answer: Fe4ReTc